Computed, not measured: Pr7Mg2Ir2 after structural relaxation at the PBE level of DFT. Values from VASP.

## Properties
Symmetry: Cmmm, No. 65
Energy of formation (meV/atom): -213.3
Size of the total moment (μB per cell): 0.00

Cell and atoms, written as Quantum ESPRESSO input:
```
&SYSTEM
  ibrav = 0, nat = 11, ntyp = 3
/
ATOMIC_SPECIES
Pr 140.91 Pr.upf
Mg 24.30 Mg.upf
Ir 192.22 Ir.upf
ATOMIC_POSITIONS angstrom
Pr -0.6364 1.8596 3.4939
Pr 3.5285 5.6769 -0.4158
Pr 6.4173 5.6743 2.6590
Pr 2.2525 1.8569 6.5686
Pr 0.0000 0.0000 0.0000
Pr 2.8914 5.7438 3.0773
Pr 2.8896 1.7900 3.0755
Mg 4.7874 3.7652 5.0954
Mg 0.9936 3.7687 1.0574
Ir 4.6705 -0.0027 1.4008
Ir 1.1071 -0.0025 4.7487
CELL_PARAMETERS angstrom
7.0520 -0.0029 -0.8367
0.0034 7.5391 0.0033
-1.2744 -0.0024 6.9862
```

Computed, not measured: Al2CrSb after structural relaxation at the PBE level of DFT. Values from VASP.

## Properties
Symmetry: Cmm2, No. 35
Raw formation energy (meV per atom): 198
Size of the total moment (μB per cell): 2.22

Cell and atoms, written as Quantum ESPRESSO input:
```
&SYSTEM
  ibrav = 0, nat = 4, ntyp = 3
/
ATOMIC_SPECIES
Sb 121.76 Sb.upf
Al 26.98 Al.upf
Cr 52.00 Cr.upf
ATOMIC_POSITIONS angstrom
Sb -3.0286 -4.7359 -2.4078
Al -0.1695 -0.2997 -0.0183
Al -1.3398 -1.7491 -2.2259
Cr -1.9024 -3.3646 -0.2049
CELL_PARAMETERS angstrom
-2.0494 1.2684 -1.8000
1.6275 -0.7735 -2.4086
-4.0122 -7.0961 -0.4322
```

Computed, not measured: AcZnCdSn after structural relaxation at the PBE level of DFT. Values from VASP.

## Properties
Symmetry: F-43m, No. 216
Energy of formation (meV/atom): -247.3
Size of the total moment (μB per cell): 0.00

Cell and atoms, written as Quantum ESPRESSO input:
```
&SYSTEM
  ibrav = 0, nat = 4, ntyp = 4
/
ATOMIC_SPECIES
Zn 65.41 Zn.upf
Ac 227.00 Ac.upf
Sn 118.71 Sn.upf
Cd 112.41 Cd.upf
ATOMIC_POSITIONS angstrom
Zn 2.6674 1.5400 1.0890
Ac 5.3348 3.0800 2.1779
Sn 0.0000 0.0000 0.0000
Cd 8.0021 4.6200 3.2669
CELL_PARAMETERS angstrom
5.3348 0.0000 0.0000
2.6674 4.6200 0.0000
2.6674 1.5400 4.3558
```

Computed, not measured: GaHg2Cl8 after structural relaxation at the PBE level of DFT. Values from VASP.

## Properties
Symmetry: C2/m, No. 12
Raw formation energy (meV per atom): -571
Size of the total moment (μB per cell): 0.44

Cell and atoms, written as Quantum ESPRESSO input:
```
&SYSTEM
  ibrav = 0, nat = 11, ntyp = 3
/
ATOMIC_SPECIES
Ga 69.72 Ga.upf
Hg 200.59 Hg.upf
Cl 35.45 Cl.upf
ATOMIC_POSITIONS angstrom
Ga 0.0000 0.0000 0.0000
Hg 2.1021 2.1831 1.8145
Hg 5.5858 7.6561 6.3637
Cl 5.5963 2.6082 5.6782
Cl 2.0917 3.7799 6.6521
Cl 5.0159 1.9363 1.6094
Cl 2.6721 7.9029 6.5688
Cl 5.5963 6.0593 1.5261
Cl 2.0917 7.2310 2.5000
Cl 2.3980 3.9698 3.2997
Cl 5.2900 5.8694 4.8785
CELL_PARAMETERS angstrom
6.3345 0.4643 0.3859
0.6767 7.4931 0.5207
0.6767 1.8818 7.2716
```

Computed, not measured: Ac3Tb2Y2 after structural relaxation at the PBE level of DFT. Values from VASP.

## Properties
Symmetry: Cmmm, No. 65
Energy of formation (meV/atom): 70.0
Size of the total moment (μB per cell): 0.00

Cell and atoms, written as Quantum ESPRESSO input:
```
&SYSTEM
  ibrav = 0, nat = 7, ntyp = 3
/
ATOMIC_SPECIES
Ac 227.00 Ac.upf
Tb 158.93 Tb.upf
Y 88.91 Y.upf
ATOMIC_POSITIONS angstrom
Ac 5.0592 0.0000 4.5300
Ac 0.0000 0.0000 0.0000
Ac 1.6353 0.0000 9.0035
Tb 4.6209 1.8628 7.8324
Tb 2.0736 1.8628 5.7011
Y 4.1528 1.8628 11.3601
Y 2.5418 1.8628 2.1733
CELL_PARAMETERS angstrom
5.5624 0.0000 0.7382
0.0000 3.7256 0.0000
1.1321 0.0000 12.7953
```

Computed, not measured: NbGaC2F after structural relaxation at the PBE level of DFT. Values from VASP.

## Properties
Symmetry: P4/mmm, No. 123
Raw formation energy (meV per atom): 1606
Size of the total moment (μB per cell): 0.00

Cell and atoms, written as Quantum ESPRESSO input:
```
&SYSTEM
  ibrav = 0, nat = 5, ntyp = 4
/
ATOMIC_SPECIES
Nb 92.91 Nb.upf
C 12.01 C.upf
Ga 69.72 Ga.upf
F 19.00 F.upf
ATOMIC_POSITIONS angstrom
Nb -3.1797 -1.1789 -0.2379
C -1.6615 0.8204 0.8278
C -1.0320 -0.3657 -1.7089
Ga -0.4862 -1.6336 0.6432
F 0.0000 0.0000 0.0000
CELL_PARAMETERS angstrom
-2.0639 -0.7315 -3.4178
-0.9723 -3.2672 1.2864
-3.3231 1.6408 1.6556
```

Computed, not measured: TcTe2AuN after structural relaxation at the PBE level of DFT. Values from VASP.

## Properties
ΔE to the lowest computed polymorph (meV/atom): 1084
Symmetry: P4/mmm, No. 123
Raw formation energy (meV per atom): 1442
Size of the total moment (μB per cell): 4.87

Cell and atoms, written as Quantum ESPRESSO input:
```
&SYSTEM
  ibrav = 0, nat = 5, ntyp = 4
/
ATOMIC_SPECIES
Te 127.60 Te.upf
Au 196.97 Au.upf
Tc 98.00 Tc.upf
N 14.01 N.upf
ATOMIC_POSITIONS angstrom
Te 0.0000 2.7950 0.0000
Te 2.7950 0.0000 0.0000
Au 0.0000 0.0000 0.0000
Tc 2.7950 2.7950 1.9202
N 0.0000 0.0000 1.9202
CELL_PARAMETERS angstrom
5.5900 0.0000 0.0000
0.0000 5.5900 0.0000
0.0000 0.0000 3.8404
```

Computed, not measured: Ta2CuRh after structural relaxation at the PBE level of DFT. Values from VASP.

## Properties
Symmetry: F-43m, No. 216
Energy of formation (meV/atom): 68.2
Size of the total moment (μB per cell): 0.90

Cell and atoms, written as Quantum ESPRESSO input:
```
&SYSTEM
  ibrav = 0, nat = 4, ntyp = 3
/
ATOMIC_SPECIES
Cu 63.55 Cu.upf
Rh 102.91 Rh.upf
Ta 180.95 Ta.upf
ATOMIC_POSITIONS angstrom
Cu -3.6007 -1.3624 3.8907
Rh -5.4010 -2.0435 5.8360
Ta 0.0000 0.0000 0.0000
Ta -1.8003 -0.6812 1.9453
CELL_PARAMETERS angstrom
-3.5663 1.3766 2.3150
-3.1640 -2.9272 1.1802
-0.4711 -1.1742 4.2862
```

Computed, not measured: Co4CSe2 after structural relaxation at the PBE level of DFT. Values from VASP.

## Properties
Symmetry: I4/mmm, No. 139
Raw formation energy (meV per atom): 241
Size of the total moment (μB per cell): 3.22

Cell and atoms, written as Quantum ESPRESSO input:
```
&SYSTEM
  ibrav = 0, nat = 7, ntyp = 3
/
ATOMIC_SPECIES
C 12.01 C.upf
Co 58.93 Co.upf
Se 78.96 Se.upf
ATOMIC_POSITIONS angstrom
C 0.0000 0.0000 0.0000
Co 3.7013 3.7013 1.8590
Co 1.8507 1.8507 4.7853
Co 0.0000 1.8507 0.0000
Co 1.8507 0.0000 0.0000
Se 3.7013 3.7013 4.3655
Se 1.8507 1.8507 2.2789
CELL_PARAMETERS angstrom
3.7013 0.0000 0.0000
0.0000 3.7013 0.0000
1.8507 1.8507 6.6443
```

Computed, not measured: InTc2HgAu after structural relaxation at the PBE level of DFT. Values from VASP.

## Properties
Symmetry: P4/mmm, No. 123
Energy of formation (meV/atom): 1750.8
Size of the total moment (μB per cell): 6.84

Cell and atoms, written as Quantum ESPRESSO input:
```
&SYSTEM
  ibrav = 0, nat = 5, ntyp = 4
/
ATOMIC_SPECIES
Tc 98.00 Tc.upf
Au 196.97 Au.upf
Hg 200.59 Hg.upf
In 114.82 In.upf
ATOMIC_POSITIONS angstrom
Tc 0.0000 0.0000 2.6502
Tc 2.6502 0.0000 0.0000
Au 0.0000 2.5867 0.0000
Hg 0.0000 0.0000 0.0000
In 2.6502 2.5867 2.6502
CELL_PARAMETERS angstrom
5.3004 0.0000 0.0000
0.0000 5.1733 0.0000
0.0000 0.0000 5.3004
```

Computed, not measured: LaCrHg3 after structural relaxation at the PBE level of DFT. Values from VASP.

## Properties
ΔE to the lowest computed polymorph (meV/atom): 615
Symmetry: Pm-3m, No. 221
Energy of formation (meV/atom): 875.7
Size of the total moment (μB per cell): 4.58

Cell and atoms, written as Quantum ESPRESSO input:
```
&SYSTEM
  ibrav = 0, nat = 5, ntyp = 3
/
ATOMIC_SPECIES
Cr 52.00 Cr.upf
Hg 200.59 Hg.upf
La 138.91 La.upf
ATOMIC_POSITIONS angstrom
Cr -5.0888 0.4824 0.8678
Hg -2.1324 -0.1504 -2.0954
Hg -1.6252 -1.7738 1.7813
Hg -1.3312 2.4066 1.1819
La 0.0000 0.0000 0.0000
CELL_PARAMETERS angstrom
-2.6623 4.8131 2.3639
-4.2649 -0.3008 -4.1908
-3.2504 -3.5476 3.5625
```

Computed, not measured: Ce3Dy4N8 after structural relaxation at the PBE level of DFT. Values from VASP.

## Properties
Symmetry: C2/m, No. 12
Raw formation energy (meV per atom): -1344
Size of the total moment (μB per cell): 0.00

Cell and atoms, written as Quantum ESPRESSO input:
```
&SYSTEM
  ibrav = 0, nat = 15, ntyp = 3
/
ATOMIC_SPECIES
Ce 140.12 Ce.upf
Dy 162.50 Dy.upf
N 14.01 N.upf
ATOMIC_POSITIONS angstrom
Ce 1.7523 2.9935 -0.0394
Ce 1.7523 -1.0762 2.7936
Ce 0.0190 2.0037 2.8783
Dy 3.4856 -0.0864 -0.1240
Dy -1.7333 3.0799 0.0846
Dy 0.0000 0.0000 0.0000
Dy -1.7333 -0.9898 2.9177
N 1.6838 0.9069 1.3027
N -3.4666 4.2350 1.5091
N -1.5519 1.0224 1.4686
N 0.0190 4.0716 1.4387
N 0.0190 -0.0642 4.3178
N 1.5898 2.9850 4.2879
N -3.4666 -0.0549 4.4955
N -1.6459 3.1005 4.4538
CELL_PARAMETERS angstrom
6.9711 -0.1727 -0.2481
-3.4666 6.1597 0.1692
-3.4666 -1.9796 5.8354
```